BaTiBr2: relaxed, PBE.

a b c (Å): 5.5699 5.5699 5.5699
angles (deg): 60.00 60.00 60.00
With the nearest neighbours (Å) after each atom.
Atoms (fractional coordinates):
Ba1 0.5000 0.5000 0.5000  8 Br 3.41
Br1 0.2500 0.2500 0.2500  4 Ba 3.41, 4 Ti 3.41
Br2 0.7500 0.7500 0.7500  4 Ti 3.41, 4 Ba 3.41
Ti1 0.0000 0.0000 0.0000  8 Br 3.41

Total magnetization ... 3.949 μB/f.u.
E above lowest polymorph ... 0.121 eV per atom
E ... -3.8552 eV/atom
Formation energy from raw total energies ... -0.56 eV per atom